No. 1
VASP calculation (PBE) on a geometry-optimized TiNbW2 structure.

Cell lengths 4.535, 4.535, 3.221 Å; angles 90.00, 90.00, 90.00 degrees
Positions (direct):
Ti 0.000 0.000 0.000
Nb 0.500 0.500 0.000
W 0.000 0.500 0.500
W 0.500 0.000 0.500

**Formation energy from the elements**: 0.014 eV per atom

=====

No. 2
VASP calculation (PBE) on a geometry-optimized ReRh structure.

Cell lengths 7.563, 7.563, 7.563 Å; angles 90.00, 90.00, 90.00 degrees
Positions (direct):
Re 0.128 0.128 0.872
Re 0.128 0.872 0.128
Re 0.372 0.372 0.372
Re 0.372 0.628 0.628
Re 0.628 0.372 0.628
Re 0.628 0.628 0.372
Re 0.872 0.128 0.128
Re 0.872 0.872 0.872
Rh 0.191 0.191 0.191
Rh 0.191 0.809 0.809
Rh 0.309 0.309 0.691
Rh 0.309 0.691 0.309
Rh 0.691 0.309 0.309
Rh 0.691 0.691 0.691
Rh 0.809 0.191 0.809
Rh 0.809 0.809 0.191

**Formation energy from the elements**: 1.525 eV per atom

=====

No. 3
VASP calculation (PBE) on a geometry-optimized Sm2MgGe4Pd3 structure.

Cell lengths 4.210, 4.210, 11.033 Å; angles 90.00, 90.00, 90.00 degrees
Positions (direct):
Sm 0.000 0.500 0.246
Sm 0.500 0.000 0.754
Mg 0.000 0.000 0.500
Ge 0.000 0.000 0.000
Ge 0.000 0.500 0.648
Ge 0.500 0.000 0.352
Ge 0.500 0.500 0.000
Pd 0.000 0.500 0.871
Pd 0.500 0.000 0.129
Pd 0.500 0.500 0.500

**Formation energy from the elements**: -0.754 eV per atom

=====

No. 4
VASP calculation (PBE) on a geometry-optimized LiGeB structure.

Cell lengths 3.491, 4.759, 11.113 Å; angles 90.00, 90.00, 90.00 degrees
Positions (direct):
Li 0.000 0.000 0.129
Li 0.000 0.000 0.871
Li 0.500 0.500 0.371
Li 0.500 0.500 0.629
Ge 0.000 0.000 0.378
Ge 0.000 0.000 0.622
Ge 0.500 0.500 0.122
Ge 0.500 0.500 0.878
B 0.000 0.336 0.500
B 0.000 0.664 0.500
B 0.500 0.164 0.000
B 0.500 0.836 0.000

**Formation energy from the elements**: 0.096 eV per atom

=====

No. 5
VASP calculation (PBE) on a geometry-optimized LiEuDyTm structure.

Cell lengths 7.898, 7.898, 7.898 Å; angles 90.00, 90.00, 90.00 degrees
Positions (direct):
Li 0.000 0.000 0.000
Li 0.000 0.500 0.500
Li 0.500 0.000 0.500
Li 0.500 0.500 0.000
Eu 0.250 0.250 0.750
Eu 0.250 0.750 0.250
Eu 0.750 0.250 0.250
Eu 0.750 0.750 0.750
Dy 0.250 0.250 0.250
Dy 0.250 0.750 0.750
Dy 0.750 0.250 0.750
Dy 0.750 0.750 0.250
Tm 0.000 0.000 0.500
Tm 0.000 0.500 0.000
Tm 0.500 0.000 0.000
Tm 0.500 0.500 0.500

**Formation energy from the elements**: 0.206 eV per atom

=====

No. 6
VASP calculation (PBE) on a geometry-optimized Ca6CdIn3 structure.

Cell lengths 9.490, 5.537, 12.299 Å; angles 90.00, 110.34, 90.00 degrees
Positions (direct):
Ca 0.029 0.250 0.420
Ca 0.162 0.750 0.168
Ca 0.253 0.250 0.001
Ca 0.339 0.750 0.809
Ca 0.360 0.250 0.340
Ca 0.397 0.250 0.632
Ca 0.603 0.750 0.368
Ca 0.640 0.750 0.660
Ca 0.661 0.250 0.191
Ca 0.747 0.750 0.999
Ca 0.838 0.250 0.832
Ca 0.971 0.750 0.580
Cd 0.455 0.750 0.091
Cd 0.545 0.250 0.909
In 0.033 0.750 0.874
In 0.100 0.250 0.717
In 0.269 0.750 0.473
In 0.731 0.250 0.527
In 0.900 0.750 0.283
In 0.967 0.250 0.126

**Formation energy from the elements**: -0.367 eV per atom

=====

No. 7
VASP calculation (PBE) on a geometry-optimized BeOs structure.

Cell lengths 4.520, 4.520, 4.520 Å; angles 90.00, 90.00, 90.00 degrees
Positions (direct):
Be 0.000 0.000 0.000
Be 0.000 0.500 0.500
Be 0.500 0.000 0.500
Be 0.500 0.500 0.000
Os 0.000 0.000 0.500
Os 0.000 0.500 0.000
Os 0.500 0.000 0.000
Os 0.500 0.500 0.500

**Formation energy from the elements**: 0.528 eV per atom

=====

No. 8
VASP calculation (PBE) on a geometry-optimized Be2SiRu structure.

Cell lengths 3.013, 3.013, 4.777 Å; angles 90.00, 90.00, 90.00 degrees
Positions (direct):
Be 0.000 0.000 0.238
Be 0.000 0.000 0.762
Si 0.500 0.500 0.500
Ru 0.500 0.500 0.000

**Uncorrected formation energy**: -318 meV/atom

=====

No. 9
VASP calculation (PBE) on a geometry-optimized Tb4Nd2Sm2Tm structure.

Cell lengths 9.580, 9.580, 9.643 Å; angles 115.18, 115.18, 21.82 degrees
Positions (direct):
Tb 0.019 0.019 0.331
Tb 0.315 0.315 0.665
Tb 0.685 0.685 0.335
Tb 0.981 0.981 0.669
Nd 0.165 0.165 0.000
Nd 0.835 0.835 0.000
Sm 0.353 0.353 0.336
Sm 0.647 0.647 0.664
Tm 0.500 0.500 0.000

**Formation energy from the elements**: 0.005 eV per atom

=====

No. 10
VASP calculation (PBE) on a geometry-optimized LiZn4Ni structure.

Cell lengths 3.941, 3.941, 6.711 Å; angles 90.00, 90.00, 90.00 degrees
Positions (direct):
Li 0.000 0.000 0.000
Zn 0.000 0.500 0.287
Zn 0.000 0.500 0.713
Zn 0.500 0.000 0.287
Zn 0.500 0.000 0.713
Ni 0.500 0.500 0.500

**Formation energy from the elements**: 0.063 eV per atom

=====

No. 11
VASP calculation (PBE) on a geometry-optimized ZrTeAs2 structure.

Cell lengths 4.041, 4.041, 5.494 Å; angles 90.00, 90.00, 90.00 degrees
Positions (direct):
Zr 0.000 0.000 0.000
Te 0.500 0.500 0.000
As 0.000 0.500 0.500
As 0.500 0.000 0.500

**Uncorrected formation energy**: -52 meV/atom

=====

No. 12
VASP calculation (PBE) on a geometry-optimized SnPbIO2 structure.

Cell lengths 4.288, 4.288, 6.078 Å; angles 90.00, 90.00, 90.00 degrees
Positions (direct):
Sn 0.000 0.000 0.000
Pb 0.500 0.500 0.000
I 0.000 0.000 0.500
O 0.000 0.500 0.500
O 0.500 0.000 0.500

**Uncorrected formation energy**: 158 meV/atom

=====

No. 13
VASP calculation (PBE) on a geometry-optimized Ac5IrPb2N structure.

Cell lengths 10.038, 10.038, 14.083 Å; angles 90.00, 90.00, 153.68 degrees
Positions (direct):
Ac 0.006 0.994 0.500
Ac 0.159 0.841 0.727
Ac 0.174 0.826 0.107
Ac 0.210 0.790 0.390
Ac 0.463 0.537 0.729
Ac 0.537 0.463 0.229
Ac 0.790 0.210 0.890
Ac 0.826 0.174 0.607
Ac 0.841 0.159 0.227
Ac 0.994 0.006 0.000
Ir 0.305 0.695 0.750
Ir 0.695 0.305 0.250
Pb 0.367 0.633 0.046
Pb 0.389 0.611 0.405
Pb 0.611 0.389 0.905
Pb 0.633 0.367 0.546
N 0.048 0.952 0.150
N 0.952 0.048 0.650

**Uncorrected formation energy**: -702 meV/atom

=====

No. 14
VASP calculation (PBE) on a geometry-optimized Ba2GePb structure.

Cell lengths 4.637, 5.266, 12.551 Å; angles 90.00, 90.00, 90.00 degrees
Positions (direct):
Ba 0.000 0.000 0.000
Ba 0.000 0.500 0.500
Ba 0.500 0.000 0.272
Ba 0.500 0.500 0.772
Ge 0.500 0.000 0.559
Ge 0.500 0.500 0.059
Pb 0.000 0.000 0.704
Pb 0.000 0.500 0.204

**Formation energy from the elements**: -0.561 eV per atom

=====

No. 15
VASP calculation (PBE) on a geometry-optimized LiHg2Se structure.

Cell lengths 4.235, 4.572, 9.508 Å; angles 90.00, 90.00, 90.00 degrees
Positions (direct):
Li 0.000 0.000 0.000
Li 0.500 0.500 0.000
Hg 0.000 0.000 0.530
Hg 0.000 0.500 0.235
Hg 0.500 0.000 0.235
Hg 0.500 0.500 0.530
Se 0.000 0.500 0.844
Se 0.500 0.000 0.844

**Uncorrected formation energy**: -268 meV/atom

=====

No. 16
VASP calculation (PBE) on a geometry-optimized Nd8PRu3I4 structure.

Cell lengths 9.405, 9.405, 9.405 Å; angles 53.23, 53.23, 53.23 degrees
Positions (direct):
Nd 0.217 0.733 0.733
Nd 0.231 0.231 0.231
Nd 0.267 0.267 0.783
Nd 0.267 0.783 0.267
Nd 0.733 0.217 0.733
Nd 0.733 0.733 0.217
Nd 0.769 0.769 0.769
Nd 0.783 0.267 0.267
P 0.500 0.500 0.500
Ru 0.000 0.000 0.500
Ru 0.000 0.500 0.000
Ru 0.500 0.000 0.000
I 0.000 0.000 0.000
I 0.000 0.500 0.500
I 0.500 0.000 0.500
I 0.500 0.500 0.000

**Uncorrected formation energy**: -800 meV/atom

=====

No. 17
VASP calculation (PBE) on a geometry-optimized BaAlCu3 structure.

Cell lengths 4.808, 4.808, 4.808 Å; angles 90.00, 90.00, 90.00 degrees
Positions (direct):
Ba 0.000 0.000 0.000
Al 0.500 0.500 0.500
Cu 0.000 0.500 0.500
Cu 0.500 0.000 0.500
Cu 0.500 0.500 0.000

**Formation energy from the elements**: 0.087 eV per atom

=====

No. 18
VASP calculation (PBE) on a geometry-optimized Dy2LuTc structure.

Cell lengths 3.403, 3.403, 32.264 Å; angles 90.00, 90.00, 120.00 degrees
Positions (direct):
Dy 0.000 0.000 0.104
Dy 0.000 0.000 0.896
Dy 0.333 0.667 0.563
Dy 0.333 0.667 0.770
Dy 0.667 0.333 0.230
Dy 0.667 0.333 0.437
Lu 0.000 0.000 0.000
Lu 0.333 0.667 0.667
Lu 0.667 0.333 0.333
Tc 0.000 0.000 0.500
Tc 0.333 0.667 0.167
Tc 0.667 0.333 0.833

**Formation energy from the elements**: 0.282 eV per atom

=====

No. 19
VASP calculation (PBE) on a geometry-optimized PuThTe2 structure.

Cell lengths 4.357, 4.357, 22.547 Å; angles 90.00, 90.00, 120.00 degrees
Positions (direct):
Pu 0.000 0.000 0.000
Pu 0.333 0.667 0.667
Pu 0.667 0.333 0.333
Th 0.000 0.000 0.500
Th 0.333 0.667 0.167
Th 0.667 0.333 0.833
Te 0.000 0.000 0.253
Te 0.000 0.000 0.747
Te 0.333 0.667 0.414
Te 0.333 0.667 0.920
Te 0.667 0.333 0.080
Te 0.667 0.333 0.586

**Uncorrected formation energy**: -1066 meV/atom

=====

No. 20
VASP calculation (PBE) on a geometry-optimized NpTcSe structure.

Cell lengths 7.973, 7.973, 7.973 Å; angles 30.53, 30.53, 30.53 degrees
Positions (direct):
Np 0.196 0.196 0.196
Np 0.804 0.804 0.804
Tc 0.067 0.067 0.067
Tc 0.933 0.933 0.933
Se 0.385 0.385 0.385
Se 0.615 0.615 0.615

**Uncorrected formation energy**: 90 meV/atom

=====

No. 21
VASP calculation (PBE) on a geometry-optimized Li2Mg2In structure.

Cell lengths 13.403, 13.403, 13.403 Å; angles 166.42, 158.26, 25.72 degrees
Positions (direct):
Li 0.266 0.016 0.250
Li 0.363 0.113 0.250
Li 0.637 0.887 0.750
Li 0.734 0.984 0.750
Mg 0.059 0.809 0.250
Mg 0.453 0.703 0.750
Mg 0.547 0.297 0.250
Mg 0.941 0.191 0.750
In 0.167 0.417 0.750
In 0.833 0.583 0.250

**Formation energy from the elements**: -0.069 eV per atom

=====

No. 22
VASP calculation (PBE) on a geometry-optimized Pa2FeCo9 structure.

Cell lengths 8.587, 8.587, 8.587 Å; angles 32.37, 32.37, 32.37 degrees
Positions (direct):
Pa 0.134 0.134 0.134
Pa 0.866 0.866 0.866
Fe 0.000 0.000 0.000
Co 0.080 0.580 0.580
Co 0.333 0.333 0.333
Co 0.420 0.420 0.920
Co 0.420 0.920 0.420
Co 0.500 0.500 0.500
Co 0.580 0.080 0.580
Co 0.580 0.580 0.080
Co 0.667 0.667 0.667
Co 0.920 0.420 0.420

**Formation energy from the elements**: -0.052 eV per atom

=====

No. 23
VASP calculation (PBE) on a geometry-optimized CeTm3Pt12 structure.

Cell lengths 4.113, 4.113, 16.446 Å; angles 90.00, 90.00, 90.00 degrees
Positions (direct):
Ce 0.000 0.000 0.000
Tm 0.000 0.000 0.253
Tm 0.000 0.000 0.500
Tm 0.000 0.000 0.747
Pt 0.000 0.500 0.127
Pt 0.000 0.500 0.376
Pt 0.000 0.500 0.624
Pt 0.000 0.500 0.873
Pt 0.500 0.000 0.127
Pt 0.500 0.000 0.376
Pt 0.500 0.000 0.624
Pt 0.500 0.000 0.873
Pt 0.500 0.500 0.000
Pt 0.500 0.500 0.252
Pt 0.500 0.500 0.500
Pt 0.500 0.500 0.748

**Formation energy from the elements**: -1.068 eV per atom

=====

Number 1: total moment 0.00 μB/cell, E -10.954 eV/atom, D(E_F) 1.4114 states/eV/atom. Number 2: total moment 0.00 μB/cell, E -8.375 eV/atom, D(E_F) 0.7196 states/eV/atom. Number 3: total moment 0.00 μB/cell, E -5.262 eV/atom, D(E_F) 0.3247 states/eV/atom. Number 4: total moment 0.00 μB/cell, E -4.307 eV/atom, D(E_F) 0.2989 states/eV/atom. Number 5: total moment 28.58 μB/cell, E -5.110 eV/atom, D(E_F) 1.0277 states/eV/atom. Number 6: total moment 0.00 μB/cell, E -2.481 eV/atom, D(E_F) 0.4444 states/eV/atom. Number 7: total moment 0.00 μB/cell, E -6.950 eV/atom, D(E_F) 0.9555 states/eV/atom. Number 8: total moment 0.00 μB/cell, E -5.855 eV/atom, D(E_F) 0.1468 states/eV/atom. Number 9: total moment 0.00 μB/cell, E -4.658 eV/atom, D(E_F) 1.3230 states/eV/atom. Number 10: total moment 0.00 μB/cell, E -2.069 eV/atom, D(E_F) 0.3878 states/eV/atom. Number 11: total moment 0.00 μB/cell, E -5.299 eV/atom, D(E_F) 0.7661 states/eV/atom. Number 12: total moment 0.00 μB/cell, E -3.678 eV/atom, D(E_F) 0.4179 states/eV/atom. Number 13: total moment 0.00 μB/cell, E -5.718 eV/atom, D(E_F) 0.5575 states/eV/atom. Number 14: total moment 0.00 μB/cell, E -3.603 eV/atom, D(E_F) 0.2649 states/eV/atom. Number 15: total moment 0.00 μB/cell, E -1.768 eV/atom, D(E_F) 0.4388 states/eV/atom. Number 16: total moment 0.00 μB/cell, E -5.649 eV/atom, D(E_F) 0.6082 states/eV/atom. Number 17: total moment 0.00 μB/cell, E -3.504 eV/atom, D(E_F) 0.1712 states/eV/atom. Number 18: total moment 0.00 μB/cell, E -5.741 eV/atom, D(E_F) 1.3594 states/eV/atom. Number 19: total moment 17.13 μB/cell, E -8.075 eV/atom, D(E_F) 2.2037 states/eV/atom. Number 20: total moment 4.42 μB/cell, E -8.841 eV/atom, D(E_F) 1.4126 states/eV/atom. Number 21: total moment 0.00 μB/cell, E -2.020 eV/atom, D(E_F) 0.2675 states/eV/atom. Number 22: total moment 10.84 μB/cell, E -7.670 eV/atom, D(E_F) 1.3369 states/eV/atom. Number 23: total moment 0.00 μB/cell, E -6.808 eV/atom, D(E_F) 0.7568 states/eV/atom.